Entry 1:
! Sr2ZrSb, relaxed, DFT PBE; values from VASP
! Formation energy without anion corrections in eV/atom: -0.259
! V in Å³/atom: 35.72
! Raw total energy in eV per atom: -4.267
! Magnetization in μB/f.u.: 1.36
! DOS at the Fermi energy in states/eV/cell: 3.63
&SYSTEM
  ibrav = 0, nat = 4, ntyp = 3
/
ATOMIC_SPECIES
Sr 87.62 Sr.upf
Zr 91.22 Zr.upf
Sb 121.76 Sb.upf
CELL_PARAMETERS angstrom
3.928 0.000 0.000
0.000 3.928 0.000
0.000 0.000 9.260
ATOMIC_POSITIONS angstrom
Sr 0.000 0.000 0.000
Sr 1.964 1.964 3.424
Zr 0.000 0.000 5.860
Sb 1.964 1.964 6.978

***

Entry 2:
! Sr2ZrSb, relaxed, DFT PBE; values from VASP
! Formation energy without anion corrections in eV/atom: 0.010
! V in Å³/atom: 31.75
! Raw total energy in eV per atom: -3.998
! Magnetization in μB/f.u.: 1.23
! DOS at the Fermi energy in states/eV/cell: 3.77
&SYSTEM
  ibrav = 0, nat = 4, ntyp = 3
/
ATOMIC_SPECIES
Sr 87.62 Sr.upf
Zr 91.22 Zr.upf
Sb 121.76 Sb.upf
CELL_PARAMETERS angstrom
-2.444 2.444 5.314
2.444 -2.444 5.314
2.444 2.444 -5.314
ATOMIC_POSITIONS angstrom
Sr 0.000 0.000 0.000
Sr 0.000 2.444 2.657
Zr 2.444 0.000 2.657
Sb 0.000 0.000 5.314

***

Entry 3:
! Sr2ZrSb, relaxed, DFT PBE; values from VASP
! Formation energy without anion corrections in eV/atom: 0.104
! V in Å³/atom: 30.03
! Raw total energy in eV per atom: -3.905
! Magnetization in μB/f.u.: 0.97
! DOS at the Fermi energy in states/eV/cell: 3.18
&SYSTEM
  ibrav = 0, nat = 4, ntyp = 3
/
ATOMIC_SPECIES
Sr 87.62 Sr.upf
Zr 91.22 Zr.upf
Sb 121.76 Sb.upf
CELL_PARAMETERS angstrom
0.000 3.916 3.916
3.916 0.000 3.916
3.916 3.916 0.000
ATOMIC_POSITIONS angstrom
Sr 0.000 0.000 0.000
Sr 1.958 1.958 1.958
Zr 3.916 3.916 3.916
Sb 5.874 5.874 5.874

***

Entry 4:
! Sr2ZrSb, relaxed, DFT PBE; values from VASP
! Formation energy without anion corrections in eV/atom: 0.155
! V in Å³/atom: 32.29
! Raw total energy in eV per atom: -3.853
! Magnetization in μB/f.u.: 1.01
! DOS at the Fermi energy in states/eV/cell: 4.86
&SYSTEM
  ibrav = 0, nat = 4, ntyp = 3
/
ATOMIC_SPECIES
Sr 87.62 Sr.upf
Zr 91.22 Zr.upf
Sb 121.76 Sb.upf
CELL_PARAMETERS angstrom
6.172 0.000 0.000
0.000 3.515 0.000
-2.580 0.000 5.954
ATOMIC_POSITIONS angstrom
Sr 0.000 0.000 0.000
Sr -1.290 1.757 2.977
Zr 1.796 0.000 2.977
Sb 3.086 1.757 0.000

***

Entry 5:
! Sr2ZrSb, relaxed, DFT PBE; values from VASP
! Formation energy without anion corrections in eV/atom: -0.005
! V in Å³/atom: 30.63
! Raw total energy in eV per atom: -4.014
! Magnetization in μB/f.u.: 1.14
! DOS at the Fermi energy in states/eV/cell: 5.18
&SYSTEM
  ibrav = 0, nat = 4, ntyp = 3
/
ATOMIC_SPECIES
Sr 87.62 Sr.upf
Zr 91.22 Zr.upf
Sb 121.76 Sb.upf
CELL_PARAMETERS angstrom
-2.353 2.353 5.530
2.353 -2.353 5.530
2.353 2.353 -5.530
ATOMIC_POSITIONS angstrom
Sr 2.353 0.000 2.765
Sr 0.000 2.353 2.765
Zr 0.000 0.000 0.000
Sb 0.000 0.000 5.530

***

Entry 6:
! Sr2ZrSb, relaxed, DFT PBE; values from VASP
! Formation energy without anion corrections in eV/atom: -0.009
! V in Å³/atom: 32.84
! Raw total energy in eV per atom: -4.017
! Magnetization in μB/f.u.: 1.35
! DOS at the Fermi energy in states/eV/cell: 4.20
&SYSTEM
  ibrav = 0, nat = 4, ntyp = 3
/
ATOMIC_SPECIES
Sr 87.62 Sr.upf
Zr 91.22 Zr.upf
Sb 121.76 Sb.upf
CELL_PARAMETERS angstrom
3.539 0.000 0.000
0.000 3.539 0.000
0.000 0.000 10.487
ATOMIC_POSITIONS angstrom
Sr 0.000 0.000 2.436
Sr 0.000 0.000 8.050
Zr 1.770 1.770 5.243
Sb 1.770 1.770 0.000

***

Entry 7:
! TaSb, relaxed, DFT PBE; values from VASP
! Formation energy without anion corrections in eV/atom: -0.005
! V in Å³/atom: 21.05
! Raw total energy in eV per atom: -7.993
! Magnetization in μB/f.u.: 0.00
! DOS at the Fermi energy in states/eV/cell: 1.47
&SYSTEM
  ibrav = 0, nat = 8, ntyp = 2
/
ATOMIC_SPECIES
Ta 180.95 Ta.upf
Sb 121.76 Sb.upf
CELL_PARAMETERS angstrom
6.375 0.000 0.000
0.000 4.677 0.000
0.000 0.000 5.648
ATOMIC_POSITIONS angstrom
Ta 0.179 1.169 0.830
Ta 3.008 3.508 3.654
Ta 3.367 1.169 1.994
Ta 6.196 3.508 4.818
Sb 1.045 1.169 3.601
Sb 2.143 3.508 0.777
Sb 4.232 1.169 4.871
Sb 5.331 3.508 2.047

***

Entry 8:
! Ta2Sb, relaxed, DFT PBE; values from VASP
! Formation energy without anion corrections in eV/atom: 0.347
! V in Å³/atom: 19.93
! Raw total energy in eV per atom: -8.929
! Magnetization in μB/f.u.: 0.00
! DOS at the Fermi energy in states/eV/cell: 5.04
&SYSTEM
  ibrav = 0, nat = 6, ntyp = 2
/
ATOMIC_SPECIES
Ta 180.95 Ta.upf
Sb 121.76 Sb.upf
CELL_PARAMETERS angstrom
-3.157 3.157 3.000
3.157 -3.157 3.000
3.157 3.157 -3.000
ATOMIC_POSITIONS angstrom
Ta 4.119 0.962 0.000
Ta 0.962 2.194 0.000
Ta 2.194 0.962 3.000
Ta -0.962 2.194 3.000
Sb 0.000 0.000 1.500
Sb 0.000 0.000 4.500